This record from Alexandria via LeMat-Bulk describes a relaxed MgCoF crystal. The functional is PBE+U.

a b c (Å): 7.9978 3.1258 7.5252
angles (deg): 90.00 90.00 90.00
With the nearest neighbours (Å) after each atom.
Fractional positions:
Mg 0.0423 0.2500 0.1893  3 F 2.05-2.14
Mg 0.4577 0.7500 0.6893  3 F 2.05-2.14
Mg 0.5423 0.2500 0.3107  3 F 2.05-2.14
Mg 0.9577 0.7500 0.8107  3 F 2.05-2.14
Co 0.0980 0.2500 0.5463  1 F 2.23, 2 Co 2.32
Co 0.4020 0.7500 0.0463  1 F 2.23, 2 Co 2.32
Co 0.5980 0.2500 0.9537  1 F 2.23, 2 Co 2.32
Co 0.9020 0.7500 0.4537  1 F 2.23, 2 Co 2.32
F 0.1228 0.7500 0.0351  3 Mg 2.05-2.14, 1 Co 2.23
F 0.3772 0.2500 0.5351  3 Mg 2.05-2.14, 1 Co 2.23
F 0.6228 0.7500 0.4649  3 Mg 2.05-2.14, 1 Co 2.23
F 0.8772 0.2500 0.9649  3 Mg 2.05-2.14, 1 Co 2.23

## Properties
For the total energy, the calculation gives -3.9478 eV/atom. The calculation puts the distance to the lowest polymorph of the same formula at 249 meV/atom. The calculation puts the calculated volume at 188.1 Å³ per cell.

***

This record from Alexandria via LeMat-Bulk describes a relaxed MgCoF6 crystal. The functional is PBE+U.

a b c (Å): 5.2408 5.2408 5.2408
angles (deg): 56.96 56.96 56.96
With the nearest neighbours (Å) after each atom.
Fractional positions:
Mg 0.0000 0.0000 0.0000  6 F 2.02
Co 0.5000 0.5000 0.5000  6 F 1.81
F 0.1421 0.7313 0.3891  1 Co 1.81, 1 Mg 2.02
F 0.2687 0.6109 0.8579  1 Co 1.81, 1 Mg 2.02
F 0.3891 0.1421 0.7313  1 Co 1.81, 1 Mg 2.02
F 0.6109 0.8579 0.2687  1 Co 1.81, 1 Mg 2.02
F 0.7313 0.3891 0.1421  1 Co 1.81, 1 Mg 2.02
F 0.8579 0.2687 0.6109  1 Co 1.81, 1 Mg 2.02

## Properties
For the total energy, the calculation gives -4.5234 eV/atom. The calculation puts the calculated volume at 94.6 Å³ per cell.

***

This record from Alexandria via LeMat-Bulk describes a relaxed Mg3CoF crystal. The functional is PBE+U.

a b c (Å): 4.7495 4.7495 4.7495
angles (deg): 90.00 90.00 90.00
With the nearest neighbours (Å) after each atom.
Fractional positions:
Mg 0.0000 0.0000 0.5000  2 Co 2.37
Mg 0.0000 0.5000 0.0000  2 Co 2.37
Mg 0.5000 0.0000 0.0000  2 Co 2.37
Co 0.0000 0.0000 0.0000  6 Mg 2.37
F 0.5000 0.5000 0.5000  12 Mg 3.36

## Properties
For the total energy, the calculation gives -2.2000 eV/atom. The calculation puts the distance to the lowest polymorph of the same formula at 750 meV/atom. The calculation puts the calculated volume at 107.1 Å³ per cell.

***

This record from Alexandria via LeMat-Bulk describes a relaxed MgCoF6 crystal. The functional is PBE+U.

a b c (Å): 4.8769 4.8769 8.9569
angles (deg): 90.00 90.00 120.00
With the nearest neighbours (Å) after each atom.
Fractional positions:
Mg 0.3333 0.6667 0.2500  6 F 2.03
Mg 0.6667 0.3333 0.7500  6 F 2.03
Co 0.0000 0.0000 0.0000  6 F 1.81
Co 0.0000 0.0000 0.5000  6 F 1.81
F 0.0181 0.3121 0.1164  1 Co 1.81
F 0.0181 0.7059 0.3836  1 Co 1.81
F 0.2941 0.3121 0.3836  1 Co 1.81
F 0.2941 0.9819 0.1164  1 Co 1.81
F 0.3121 0.0181 0.6164  1 Co 1.81
F 0.3121 0.2941 0.8836  1 Co 1.81
F 0.6879 0.7059 0.1164  1 Co 1.81
F 0.6879 0.9819 0.3836  1 Co 1.81
F 0.7059 0.0181 0.8836  1 Co 1.81
F 0.7059 0.6879 0.6164  1 Co 1.81
F 0.9819 0.2941 0.6164  1 Co 1.81
F 0.9819 0.6879 0.8836  1 Co 1.81

## Properties
For the total energy, the calculation gives -4.5076 eV/atom. The calculation puts the calculated volume at 184.5 Å³ per cell.

***

This record from Alexandria via LeMat-Bulk describes a relaxed Mg2MnCoF crystal. The functional is PBE+U.

a b c (Å): 4.9339 4.9339 4.8103
angles (deg): 90.00 90.00 90.00
With the nearest neighbours (Å) after each atom.
Fractional positions:
Mg 0.0000 0.5000 0.0000  2 Co 2.47
Mg 0.5000 0.0000 0.0000  2 Co 2.47
Mn 0.0000 0.0000 0.5000  2 Co 2.41
Co 0.0000 0.0000 0.0000  2 Mn 2.41, 4 Mg 2.47
F 0.5000 0.5000 0.5000  8 Mg 3.45, 4 Mn 3.49

## Properties
For the total energy, the calculation gives -3.3038 eV/atom. The calculation puts the calculated volume at 117.1 Å³ per cell.

***

This record from Alexandria via LeMat-Bulk describes a relaxed MgMnCoF6 crystal. The functional is PBE+U.

a b c (Å): 5.2497 5.2497 9.2520
angles (deg): 90.00 90.00 120.00
With the nearest neighbours (Å) after each atom.
Fractional positions:
Mg 0.3333 0.6667 0.2500  6 F 2.01
Mg 0.6667 0.3333 0.7500  6 F 2.01
Mn 0.0000 0.0000 0.0000  6 F 2.18
Mn 0.0000 0.0000 0.5000  6 F 2.18
Co 0.3333 0.6667 0.7500  6 F 2.06
Co 0.6667 0.3333 0.2500  6 F 2.06
F 0.0071 0.3454 0.1336  1 Mg 2.01, 1 Co 2.06, 1 Mn 2.18
F 0.0071 0.6617 0.3664  1 Mg 2.01, 1 Co 2.06, 1 Mn 2.18
F 0.3383 0.3454 0.3664  1 Mg 2.01, 1 Co 2.06, 1 Mn 2.18
F 0.3383 0.9929 0.1336  1 Mg 2.01, 1 Co 2.06, 1 Mn 2.18
F 0.3454 0.0071 0.6336  1 Mg 2.01, 1 Co 2.06, 1 Mn 2.18
F 0.3454 0.3383 0.8664  1 Mg 2.01, 1 Co 2.06, 1 Mn 2.18
F 0.6546 0.6617 0.1336  1 Mg 2.01, 1 Co 2.06, 1 Mn 2.18
F 0.6546 0.9929 0.3664  1 Mg 2.01, 1 Co 2.06, 1 Mn 2.18
F 0.6617 0.0071 0.8664  1 Mg 2.01, 1 Co 2.06, 1 Mn 2.18
F 0.6617 0.6546 0.6336  1 Mg 2.01, 1 Co 2.06, 1 Mn 2.18
F 0.9929 0.3383 0.6336  1 Mg 2.01, 1 Co 2.06, 1 Mn 2.18
F 0.9929 0.6546 0.8664  1 Mg 2.01, 1 Co 2.06, 1 Mn 2.18

## Properties
For the total energy, the calculation gives -5.5923 eV/atom. The calculation puts the calculated volume at 220.8 Å³ per cell.

***

This record from Alexandria via LeMat-Bulk describes a relaxed MgCoMoF2 crystal. The functional is PBE+U.

a b c (Å): 4.1516 4.1516 6.6846
angles (deg): 90.00 90.00 90.00
With the nearest neighbours (Å) after each atom.
Fractional positions:
Mg 0.0000 0.0000 0.0000  4 Co 2.94
Co 0.5000 0.5000 0.0000  4 Mg 2.94
Mo 0.0000 0.0000 0.5000  4 F 2.08
F 0.0000 0.5000 0.5000  2 Mo 2.08
F 0.5000 0.0000 0.5000  2 Mo 2.08

## Properties
For the total energy, the calculation gives -4.1435 eV/atom. The calculation puts the calculated volume at 115.2 Å³ per cell.

***

This record from Alexandria via LeMat-Bulk describes a relaxed MgCoNF2 crystal. The functional is PBE+U.

a b c (Å): 3.9516 3.9516 3.7655
angles (deg): 90.00 90.00 90.00
With the nearest neighbours (Å) after each atom.
Fractional positions:
Mg 0.0000 0.0000 0.0000  8 F 2.73, 4 N 2.79
Co 0.5000 0.5000 0.5000  2 N 1.88, 4 F 1.98
N 0.5000 0.5000 0.0000  2 Co 1.88
F 0.0000 0.5000 0.5000  2 Co 1.98
F 0.5000 0.0000 0.5000  2 Co 1.98

## Properties
For the total energy, the calculation gives -4.6867 eV/atom. The calculation puts the distance to the lowest polymorph of the same formula at 3 meV/atom. The calculation puts the calculated volume at 58.8 Å³ per cell.

***

This record from Alexandria via LeMat-Bulk describes a relaxed MgCoNF2 crystal. The functional is PBE+U.

a b c (Å): 3.6115 3.6115 4.9183
angles (deg): 90.00 90.00 90.00
With the nearest neighbours (Å) after each atom.
Fractional positions:
Mg 0.0000 0.0000 0.0000  4 F 1.81
Co 0.5000 0.5000 0.5000  4 N 2.55
N 0.0000 0.0000 0.5000  2 Mg 2.46, 4 Co 2.55
F 0.0000 0.5000 0.0000  2 Mg 1.81
F 0.5000 0.0000 0.0000  2 Mg 1.81

## Properties
For the total energy, the calculation gives -4.6901 eV/atom. The calculation puts the distance to the lowest polymorph of the same formula at 0 meV/atom. The calculation puts the calculated volume at 64.1 Å³ per cell.

***

This record from Alexandria via LeMat-Bulk describes a relaxed NaMg2CoF crystal. The functional is PBE+U.

a b c (Å): 4.5032 4.5032 4.3381
angles (deg): 90.00 90.00 90.00
With the nearest neighbours (Å) after each atom.
Fractional positions:
Na 0.0000 0.0000 0.0000  2 F 2.17
Mg 0.0000 0.5000 0.5000  2 F 2.25
Mg 0.5000 0.0000 0.5000  2 F 2.25
Co 0.5000 0.5000 0.0000  8 Mg 3.13, 4 Na 3.18
F 0.0000 0.0000 0.5000  2 Na 2.17, 4 Mg 2.25

## Properties
For the total energy, the calculation gives -2.8904 eV/atom. The calculation puts the calculated volume at 88.0 Å³ per cell.